VASP calculation (GGA-PBE) on a geometry-optimized Sm5Se5N2 structure.

**Magnetization**: 0.000 μB/atom
**Raw formation energy**: -1.634 eV per atom
**Crystal system**: monoclinic
**DOS(E_F)**: 4.66 states/eV/f.u.

Structure (POSCAR):
```
Sm5Se5N2
1.0
6.684 -1.980 0.000
6.684 1.980 0.000
-2.865 0.000 10.684
Sm Se N
5 5 2
Direct
0.000 0.000 0.000
0.095 0.095 0.366
0.351 0.351 0.203
0.649 0.649 0.797
0.905 0.905 0.634
0.246 0.246 0.634
0.336 0.336 0.927
0.500 0.500 0.500
0.664 0.664 0.073
0.754 0.754 0.366
0.046 0.046 0.799
0.954 0.954 0.201
```